Entry 1:
# HfPbIO2 PBE relaxed
data_HfPbIO2
_cell_length_a 4.3745
_cell_length_b 4.3745
_cell_length_c 5.6606
_cell_angle_alpha 90.00
_cell_angle_beta 90.00
_cell_angle_gamma 90.00
_symmetry_space_group_name_H-M 'P 4/m m m'
_symmetry_Int_Tables_number 123
_symmetry_space_group_name_Hall '-P 4 2'
loop_
_atom_site_label
_atom_site_type_symbol
_atom_site_fract_x
_atom_site_fract_y
_atom_site_fract_z
_atom_site_occupancy
Hf1 Hf 0.0000 0.0000 0.0000 1
Pb1 Pb 0.5000 0.5000 0.5000 1
I1 I 0.0000 0.0000 0.5000 1
O1 O 0.0000 0.5000 0.0000 1
# * total DFT energy (no corrections): -6.292 eV/atom
# * raw formation energy: -6.3 eV/f.u.
# * distance to the lowest polymorph of the same formula: 0 meV per atom

=====

Entry 2:
# HfPbI2O PBE relaxed
data_HfPbI2O
_cell_length_a 5.9653
_cell_length_b 5.9653
_cell_length_c 3.9721
_cell_angle_alpha 90.00
_cell_angle_beta 90.00
_cell_angle_gamma 90.00
_symmetry_space_group_name_H-M 'P 4/m m m'
_symmetry_Int_Tables_number 123
_symmetry_space_group_name_Hall '-P 4 2'
loop_
_atom_site_label
_atom_site_type_symbol
_atom_site_fract_x
_atom_site_fract_y
_atom_site_fract_z
_atom_site_occupancy
Hf1 Hf 0.0000 0.0000 0.0000 1
Pb1 Pb 0.5000 0.5000 0.5000 1
I1 I 0.0000 0.5000 0.0000 1
O1 O 0.0000 0.0000 0.5000 1
# * total DFT energy (no corrections): -5.290 eV/atom
# * raw formation energy: -4.7 eV/f.u.
# * distance to the lowest polymorph of the same formula: 0 meV per atom

=====

Entry 3:
# HfPtIO2 PBE relaxed
data_HfPtIO2
_cell_length_a 3.9732
_cell_length_b 3.9732
_cell_length_c 6.4876
_cell_angle_alpha 90.00
_cell_angle_beta 90.00
_cell_angle_gamma 90.00
_symmetry_space_group_name_H-M 'P 4/m m m'
_symmetry_Int_Tables_number 123
_symmetry_space_group_name_Hall '-P 4 2'
loop_
_atom_site_label
_atom_site_type_symbol
_atom_site_fract_x
_atom_site_fract_y
_atom_site_fract_z
_atom_site_occupancy
Hf1 Hf 0.0000 0.0000 0.0000 1
Pt1 Pt 0.5000 0.5000 0.5000 1
I1 I 0.0000 0.0000 0.5000 1
O1 O 0.0000 0.5000 0.0000 1
# * total DFT energy (no corrections): -6.796 eV/atom
# * raw formation energy: -6.5 eV/f.u.
# * distance to the lowest polymorph of the same formula: 0 meV per atom

=====

Entry 4:
# HfPtIO2 PBE relaxed
data_HfPtIO2
_cell_length_a 4.1594
_cell_length_b 4.1594
_cell_length_c 5.1545
_cell_angle_alpha 90.00
_cell_angle_beta 90.00
_cell_angle_gamma 90.00
_symmetry_space_group_name_H-M 'P 4/m m m'
_symmetry_Int_Tables_number 123
_symmetry_space_group_name_Hall '-P 4 2'
loop_
_atom_site_label
_atom_site_type_symbol
_atom_site_fract_x
_atom_site_fract_y
_atom_site_fract_z
_atom_site_occupancy
Hf1 Hf 0.0000 0.0000 0.0000 1
Pt1 Pt 0.5000 0.5000 0.5000 1
I1 I 0.5000 0.5000 0.0000 1
O1 O 0.0000 0.5000 0.5000 1
# * total DFT energy (no corrections): -5.157 eV/atom
# * raw formation energy: 1.7 eV/f.u.
# * distance to the lowest polymorph of the same formula: 1640 meV per atom

=====

Entry 5:
# RbHfI2O PBE relaxed
data_RbHfI2O
_cell_length_a 6.3351
_cell_length_b 6.3351
_cell_length_c 4.1345
_cell_angle_alpha 90.00
_cell_angle_beta 90.00
_cell_angle_gamma 90.00
_symmetry_space_group_name_H-M 'P 4/m m m'
_symmetry_Int_Tables_number 123
_symmetry_space_group_name_Hall '-P 4 2'
loop_
_atom_site_label
_atom_site_type_symbol
_atom_site_fract_x
_atom_site_fract_y
_atom_site_fract_z
_atom_site_occupancy
Rb1 Rb 0.0000 0.0000 0.0000 1
Hf1 Hf 0.5000 0.5000 0.5000 1
I1 I 0.0000 0.5000 0.0000 1
O1 O 0.0000 0.0000 0.5000 1
# * total DFT energy (no corrections): -3.097 eV/atom
# * raw formation energy: 3.5 eV/f.u.
# * distance to the lowest polymorph of the same formula: 2187 meV per atom

=====

Entry 6:
# RbHfIO2 PBE relaxed
data_RbHfIO2
_cell_length_a 4.4650
_cell_length_b 4.4650
_cell_length_c 6.1107
_cell_angle_alpha 90.00
_cell_angle_beta 90.00
_cell_angle_gamma 90.00
_symmetry_space_group_name_H-M 'P 4/m m m'
_symmetry_Int_Tables_number 123
_symmetry_space_group_name_Hall '-P 4 2'
loop_
_atom_site_label
_atom_site_type_symbol
_atom_site_fract_x
_atom_site_fract_y
_atom_site_fract_z
_atom_site_occupancy
Rb1 Rb 0.0000 0.0000 0.0000 1
Hf1 Hf 0.5000 0.5000 0.5000 1
I1 I 0.0000 0.0000 0.5000 1
O1 O 0.0000 0.5000 0.0000 1
# * total DFT energy (no corrections): -3.549 eV/atom
# * raw formation energy: 4.6 eV/f.u.
# * distance to the lowest polymorph of the same formula: 2773 meV per atom

=====

Entry 7:
# Rb2HfI6O PBE relaxed
data_Rb2HfI6O
_cell_length_a 8.9739
_cell_length_b 8.9739
_cell_length_c 10.0543
_cell_angle_alpha 90.00
_cell_angle_beta 90.00
_cell_angle_gamma 90.00
_symmetry_space_group_name_H-M 'I 4/m m m'
_symmetry_Int_Tables_number 139
_symmetry_space_group_name_Hall '-I 4 2'
loop_
_atom_site_label
_atom_site_type_symbol
_atom_site_fract_x
_atom_site_fract_y
_atom_site_fract_z
_atom_site_occupancy
Rb1 Rb 0.0000 0.5000 0.2500 1
Hf1 Hf 0.0000 0.0000 0.0000 1
I1 I 0.0000 0.0000 0.2841 1
I2 I 0.2262 0.2262 0.0000 1
O1 O 0.0000 0.0000 0.5000 1
# * total DFT energy (no corrections): -3.465 eV/atom
# * raw formation energy: -8.5 eV/f.u.

=====

Entry 8:
# RbHfIO2 PBE relaxed
data_RbHfIO2
_cell_length_a 4.3131
_cell_length_b 4.3131
_cell_length_c 5.8958
_cell_angle_alpha 90.00
_cell_angle_beta 90.00
_cell_angle_gamma 90.00
_symmetry_space_group_name_H-M 'P 4/m m m'
_symmetry_Int_Tables_number 123
_symmetry_space_group_name_Hall '-P 4 2'
loop_
_atom_site_label
_atom_site_type_symbol
_atom_site_fract_x
_atom_site_fract_y
_atom_site_fract_z
_atom_site_occupancy
Rb1 Rb 0.0000 0.0000 0.0000 1
Hf1 Hf 0.5000 0.5000 0.5000 1
I1 I 0.5000 0.5000 0.0000 1
O1 O 0.0000 0.5000 0.5000 1
# * total DFT energy (no corrections): -6.322 eV/atom
# * raw formation energy: -9.2 eV/f.u.
# * distance to the lowest polymorph of the same formula: 0 meV per atom